[1]
VASP calculation (PBE+U) on CrHSe3O8 after structural relaxation.

Properties
Density of states at the Fermi level   0.0 states/eV per cell
Offset from the most stable computed form   43 meV/atom

Unit cell a=7.323 b=8.311 c=13.152 alpha=90.00 beta=90.00 gamma=94.03
Each line ends with the local moment (μB).
Sites, in units of the cell vectors:
1 Cr 0.101 0.870 0.174  2.96
2 Cr 0.399 0.630 0.674  2.96
3 Cr 0.899 0.130 0.826  2.96
4 Cr 0.601 0.370 0.326  2.96
5 O 0.763 0.549 0.395  -0.02
6 O 0.241 0.899 0.305  -0.01
7 O 0.641 0.694 0.021  -0.01
8 O 0.230 0.795 0.626  -0.02
9 O 0.359 0.306 0.979  -0.01
10 O 0.028 0.163 0.959  -0.01
11 O 0.263 0.049 0.105  -0.02
12 O 0.388 0.082 0.696  0.01
13 O 0.737 0.951 0.895  -0.02
14 O 0.070 0.314 0.769  -0.02
15 O 0.112 0.418 0.196  0.01
16 O 0.930 0.686 0.231  -0.02
17 O 0.972 0.837 0.041  -0.01
18 O 0.859 0.806 0.521  -0.01
19 O 0.141 0.194 0.479  -0.01
20 O 0.612 0.918 0.304  0.01
21 O 0.570 0.814 0.731  -0.02
22 O 0.426 0.535 0.281  -0.02
23 O 0.237 0.451 0.605  -0.02
24 O 0.528 0.663 0.541  -0.01
25 O 0.259 0.601 0.805  -0.01
26 O 0.472 0.337 0.459  -0.01
27 O 0.759 0.101 0.695  -0.01
28 O 0.270 0.705 0.126  -0.02
29 O 0.574 0.465 0.719  -0.02
30 O 0.430 0.186 0.269  -0.02
31 O 0.926 0.035 0.219  -0.02
32 O 0.730 0.295 0.874  -0.02
33 O 0.888 0.582 0.804  0.01
34 O 0.741 0.399 0.195  -0.01
35 O 0.770 0.205 0.374  -0.02
36 O 0.074 0.965 0.781  -0.02
37 Se 0.586 0.979 0.648  0.01
38 Se 0.744 0.877 0.033  0.01
39 Se 0.160 0.978 0.660  0.01
40 Se 0.756 0.623 0.533  0.01
41 Se 0.244 0.377 0.467  0.01
42 Se 0.414 0.021 0.352  0.01
43 Se 0.256 0.123 0.967  0.01
44 Se 0.914 0.521 0.148  0.01
45 Se 0.086 0.479 0.852  0.01
46 Se 0.340 0.522 0.160  0.01
47 Se 0.840 0.022 0.340  0.01
48 Se 0.660 0.478 0.840  0.01
49 H 0.171 0.373 0.653  0.00
50 H 0.329 0.127 0.153  0.00
51 H 0.671 0.873 0.847  0.00
52 H 0.829 0.627 0.347  0.00



[2]
VASP calculation (PBE+U) on CrHSe3O8 after structural relaxation.

Properties
Density of states at the Fermi level   0.0 states/eV per cell
Offset from the most stable computed form   0 meV/atom

Unit cell a=7.634 b=9.192 c=11.635 alpha=90.00 beta=90.00 gamma=90.00
Each line ends with the local moment (μB).
Sites, in units of the cell vectors:
1 O 0.422 0.330 0.096  -0.02
2 O 0.422 0.330 0.404  -0.02
3 O 0.279 0.613 0.035  -0.02
4 O 0.260 0.683 0.250  0.00
5 O 0.721 0.387 0.965  -0.02
6 O 0.078 0.830 0.404  -0.02
7 O 0.078 0.830 0.096  -0.02
8 O 0.922 0.170 0.904  -0.02
9 O 0.627 0.587 0.137  -0.02
10 O 0.127 0.913 0.863  -0.02
11 O 0.740 0.317 0.750  0.00
12 O 0.421 0.999 0.750  0.00
13 O 0.721 0.387 0.535  -0.02
14 O 0.873 0.087 0.137  -0.02
15 O 0.221 0.113 0.035  -0.02
16 O 0.779 0.887 0.965  -0.02
17 O 0.627 0.587 0.363  -0.02
18 O 0.279 0.613 0.465  -0.02
19 O 0.779 0.887 0.535  -0.02
20 O 0.079 0.499 0.750  0.00
21 O 0.240 0.183 0.250  0.00
22 O 0.921 0.501 0.250  0.00
23 O 0.922 0.170 0.596  -0.02
24 O 0.127 0.913 0.637  -0.02
25 O 0.760 0.817 0.750  0.00
26 O 0.373 0.413 0.637  -0.02
27 O 0.373 0.413 0.863  -0.02
28 O 0.579 0.001 0.250  0.00
29 O 0.578 0.670 0.596  -0.02
30 O 0.873 0.087 0.363  -0.02
31 O 0.578 0.670 0.904  -0.02
32 O 0.221 0.113 0.465  -0.02
33 Se 0.687 0.477 0.250  0.01
34 Se 0.211 0.272 0.109  0.02
35 Se 0.789 0.728 0.891  0.02
36 Se 0.313 0.523 0.750  0.01
37 Se 0.289 0.772 0.391  0.02
38 Se 0.289 0.772 0.109  0.02
39 Se 0.789 0.728 0.609  0.02
40 Se 0.711 0.228 0.609  0.02
41 Se 0.711 0.228 0.891  0.02
42 Se 0.813 0.977 0.250  0.01
43 Se 0.211 0.272 0.391  0.02
44 Se 0.187 0.023 0.750  0.01
45 H 0.455 0.896 0.750  0.00
46 H 0.045 0.396 0.750  0.00
47 H 0.955 0.604 0.250  0.00
48 H 0.545 0.104 0.250  0.00
49 Cr 0.000 0.000 0.500  2.96
50 Cr 0.500 0.500 0.000  2.96
51 Cr 0.000 0.000 0.000  2.96
52 Cr 0.500 0.500 0.500  2.96



[3]
VASP calculation (PBE+U) on SrCrH2O after structural relaxation.

Properties
Density of states at the Fermi level   0.7 states/eV per cell
Offset from the most stable computed form   0 meV/atom

Unit cell a=3.793 b=3.793 c=4.123 alpha=90.00 beta=90.00 gamma=90.00
Each line ends with the local moment (μB).
Sites, in units of the cell vectors:
1 H 0.000 0.500 0.000  -0.03
2 H 0.500 0.000 0.000  -0.03
3 Cr 0.000 0.000 0.000  3.66
4 Sr 0.500 0.500 0.500  0.01
5 O 0.000 0.000 0.500  0.01